The following is a PBE+U calculation of ScNi3F after structural relaxation, from Alexandria via LeMat-Bulk.

Energy above the lowest structure with this stoichiometry = 1.4327 eV/atom
Total energy = -1.583 eV per atom

Cell: 4.4249 4.4249 4.4249 Å, 90.00 90.00 90.00°
With the nearest neighbours (Å) after each atom.
Positions (direct):
Sc (0.0000, 0.0000, 0.0000)  6 Ni 2.21
Ni (0.0000, 0.5000, 0.0000)  2 Sc 2.21
Ni (0.0000, 0.0000, 0.5000)  2 Sc 2.21
Ni (0.5000, 0.0000, 0.0000)  2 Sc 2.21
F (0.5000, 0.5000, 0.5000)  12 Ni 3.13